1.
Compound: MnSbPt3
Source: Alexandria via LeMat-Bulk
Functional: GGA-PBE
Structure: relaxed

a = 4.9263 Å, b = 4.9263 Å, c = 4.9263 Å
α = 90.00°, β = 90.00°, γ = 90.00°
Positions (direct):
Mn (0.0000, 0.0000, 0.0000)
Sb (0.5000, 0.5000, 0.5000)
Pt (0.0000, 0.5000, 0.5000)
Pt (0.5000, 0.0000, 0.5000)
Pt (0.5000, 0.5000, 0.0000)

## Properties
As for the energy relative to the elements, uncorrected: 0.7921 eV/atom. As for the excess energy over the best structure of this formula in the dataset: 0.038 eV/atom. The calculation puts the total magnetization at 0.906 μB/atom. The calculation puts the energy at -27.45 eV per cell. The value obtained for the density is 10.58 g/cm3.



2.
Compound: MnSn2SbPt
Source: Alexandria via LeMat-Bulk
Functional: GGA-PBE
Structure: relaxed

a = 4.0562 Å, b = 4.4505 Å, c = 6.2795 Å
α = 90.00°, β = 90.03°, γ = 90.00°
Positions (direct):
Mn (0.0000, 0.0000, 0.0000)
Sn (0.5014, 0.0000, 0.6856)
Sn (0.9944, 0.5000, 0.2802)
Sb (0.0026, 0.5000, 0.7552)
Pt (0.4997, 0.0000, 0.2534)

## Properties
As for the energy relative to the elements, uncorrected: -0.0305 eV/atom. As for the excess energy over the best structure of this formula in the dataset: 0.146 eV/atom. The calculation puts the total magnetization at 0.652 μB/atom. The calculation puts the energy at -27.49 eV per cell. The value obtained for the density is 8.92 g/cm3.